[1]
# TaPtI2O

TaPtI2O after structural relaxation (PBE, the Alexandria database).

- Formation energy (no corrections): -0.1159 eV per atom
- Density: 9.129 Mg/m³
- E above lowest polymorph: 0.0000 eV/atom

Lattice parameters (Å, degrees): 5.5291 5.5291 3.8430 90.00 90.00 90.00
Positions (direct):
Ta1 0.0000 0.0000 0.0000
Pt1 0.5000 0.5000 0.5000
I1 0.0000 0.5000 0.0000
I2 0.5000 0.0000 0.0000
O1 0.0000 0.0000 0.5000

=====

[2]
# Rb3Ga2As2

Rb3Ga2As2 after structural relaxation (PBE, the Alexandria database).

- Density: 3.843 Mg/m³
- ΔE_f: -0.394 eV/atom

Lattice parameters (Å, degrees): 10.6242 10.6242 10.6242 157.50 149.03 38.62
Positions (direct):
Rb1 0.0000 0.0000 0.0000
Rb2 0.1855 0.6855 0.5000
Rb3 0.8145 0.3145 0.5000
Ga1 0.4387 0.4387 0.0000
Ga2 0.5613 0.5613 0.0000
As1 0.3691 0.8691 0.5000
As2 0.6309 0.1309 0.5000

=====

[3]
# Dy5Y2TmTh

Dy5Y2TmTh after structural relaxation (PBE, the Alexandria database).

- Density: 7.805 Mg/m³
- ΔE_f: 0.162 eV/atom

Lattice parameters (Å, degrees): 11.0992 11.0992 9.6957 90.00 90.00 150.29
Positions (direct):
Dy1 0.0152 0.9848 0.5000
Dy2 0.2714 0.7286 0.1926
Dy3 0.3038 0.6962 0.8005
Dy4 0.3986 0.6014 0.4757
Dy5 0.4695 0.5305 0.7738
Dy6 0.5305 0.4695 0.2738
Dy7 0.6014 0.3986 0.9757
Dy8 0.6962 0.3038 0.3005
Dy9 0.7286 0.2714 0.6926
Dy10 0.9848 0.0152 0.0000
Y1 0.1153 0.8847 0.1893
Y2 0.1287 0.8713 0.8053
Y3 0.8713 0.1287 0.3053
Y4 0.8847 0.1153 0.6893
Tm1 0.1906 0.8094 0.5004
Tm2 0.8094 0.1906 0.0004
Th1 0.4045 0.5955 0.0920
Th2 0.5955 0.4045 0.5920

=====

[4]
# ZnTcNi2

ZnTcNi2 after structural relaxation (PBE, the Alexandria database).

- Density: 9.338 Mg/m³
- ΔE_f: -0.035 eV/atom

Lattice parameters (Å, degrees): 4.0673 4.9663 4.9663 29.85 90.00 90.00
Positions (direct):
Zn1 0.0000 0.0000 0.0000
Tc1 0.5000 0.3326 0.3326
Ni1 0.0000 0.7395 0.7395
Ni2 0.5000 0.5925 0.5925

=====

[5]
# KZrSb2

KZrSb2 after structural relaxation (PBE, the Alexandria database).

- Formation energy (no corrections): -0.4696 eV per atom
- Density: 5.579 Mg/m³
- E above lowest polymorph: 0.0271 eV/atom

Lattice parameters (Å, degrees): 3.4553 3.4553 9.5093 90.00 90.00 101.47
Positions (direct):
K1 0.0000 0.0000 0.0000
Zr1 0.0000 0.0000 0.5000
Sb1 0.5000 0.5000 0.2881
Sb2 0.5000 0.5000 0.7119

=====

[6]
# Hf2VZnN

Hf2VZnN after structural relaxation (PBE, the Alexandria database).

- Formation energy (no corrections): -0.7301 eV per atom
- Density: 10.575 Mg/m³

Lattice parameters (Å, degrees): 4.4671 4.4671 3.8349 90.00 90.00 90.00
Positions (direct):
Hf1 0.0000 0.5000 0.0000
Hf2 0.5000 0.0000 0.0000
V1 0.0000 0.0000 0.5000
Zn1 0.5000 0.5000 0.5000
N1 0.0000 0.0000 0.0000

=====

[7]
# HgTeI

HgTeI after structural relaxation (PBE, the Alexandria database).

- Formation energy (no corrections): -0.2027 eV per atom
- Density: 6.246 Mg/m³
- E above lowest polymorph: 0.0000 eV/atom

Lattice parameters (Å, degrees): 4.6502 7.0964 7.8826 79.82 89.96 71.23
Positions (direct):
Hg1 0.0679 0.3608 0.2888
Hg2 0.9321 0.6392 0.7112
Te1 0.4021 0.6996 0.9039
Te2 0.5979 0.3004 0.0961
I1 0.1442 0.2035 0.6561
I2 0.8558 0.7965 0.3439

=====

[8]
# NaSrMgZn2

NaSrMgZn2 after structural relaxation (PBE, the Alexandria database).

- Density: 2.612 Mg/m³
- ΔE_f: 0.357 eV/atom
- E above lowest polymorph: 0.0000 eV/atom

Lattice parameters (Å, degrees): 5.2651 5.2651 6.0930 90.00 90.00 90.00
Positions (direct):
Na1 0.0000 0.0000 0.0000
Sr1 0.5000 0.5000 0.0000
Mg1 0.5000 0.5000 0.5000
Zn1 0.0000 0.5000 0.5000
Zn2 0.5000 0.0000 0.5000